Record 1
{"formula": "AlIBrO2", "functional": "PBE-GGA", "state": "optimized geometry", "e_form_raw_mev_per_atom": 512.3, "e_above_lowest_polymorph_mev_per_atom": 1137.1, "space_group": "No. 123", "lattice_angstrom": [[4.028, 0.000, 0.000], [0.000, 4.028, 0.000], [0.000, 0.000, 7.013]], "species": ["Al", "I", "Br", "O", "O"], "frac_coords": [[0.000, 0.000, 0.000], [0.500, 0.500, 0.000], [0.500, 0.500, 0.500], [0.000, 0.500, 0.500], [0.500, 0.000, 0.500]]}



Record 2
{"formula": "Al2PbI2Br6", "functional": "PBE-GGA", "state": "optimized geometry", "e_form_raw_mev_per_atom": -941.9, "space_group": "No. 147", "lattice_angstrom": [[6.980, 0.000, 0.000], [-3.490, 6.045, 0.000], [0.000, 0.000, 12.670]], "species": ["Al", "Al", "Pb", "I", "I", "Br", "Br", "Br", "Br", "Br", "Br"], "frac_coords": [[0.333, 0.667, 0.288], [0.667, 0.333, 0.712], [0.000, 0.000, 0.500], [0.333, 0.667, 0.092], [0.667, 0.333, 0.908], [0.007, 0.646, 0.357], [0.354, 0.362, 0.357], [0.362, 0.007, 0.643], [0.638, 0.993, 0.357], [0.646, 0.638, 0.643], [0.993, 0.354, 0.643]]}



Record 3
{"formula": "Al2PbIBr", "functional": "PBE-GGA", "state": "optimized geometry", "e_form_raw_mev_per_atom": 386.9, "space_group": "No. 123", "lattice_angstrom": [[5.862, 0.000, 0.000], [0.000, 5.862, 0.000], [0.000, 0.000, 5.942]], "species": ["Al", "Al", "Pb", "I", "Br"], "frac_coords": [[0.000, 0.500, 0.000], [0.500, 0.000, 0.000], [0.000, 0.000, 0.000], [0.000, 0.000, 0.500], [0.500, 0.500, 0.500]]}



Record 4
{"formula": "AlPdIBr2", "functional": "PBE-GGA", "state": "optimized geometry", "e_form_raw_mev_per_atom": 785.0, "space_group": "No. 123", "lattice_angstrom": [[5.775, 0.000, 0.000], [0.000, 5.775, 0.000], [0.000, 0.000, 6.020]], "species": ["Al", "Pd", "I", "Br", "Br"], "frac_coords": [[0.000, 0.000, 0.000], [0.500, 0.500, 0.000], [0.000, 0.000, 0.500], [0.000, 0.500, 0.500], [0.500, 0.000, 0.500]]}



Record 5
{"formula": "RbAlI2Br", "functional": "PBE-GGA", "state": "optimized geometry", "e_form_raw_mev_per_atom": -922.3, "space_group": "No. 123", "lattice_angstrom": [[5.862, 0.000, 0.000], [0.000, 5.862, 0.000], [0.000, 0.000, 5.401]], "species": ["Rb", "Al", "I", "I", "Br"], "frac_coords": [[0.000, 0.000, 0.000], [0.500, 0.500, 0.500], [0.000, 0.500, 0.500], [0.500, 0.000, 0.500], [0.500, 0.500, 0.000]]}



Record 6
{"formula": "Rb2AlIBr6", "functional": "PBE-GGA", "state": "optimized geometry", "e_form_raw_mev_per_atom": -988.9, "space_group": "No. 139", "lattice_angstrom": [[-3.990, 3.990, 6.037], [3.990, -3.990, 6.037], [3.990, 3.990, -6.037]], "species": ["Rb", "Rb", "Al", "I", "Br", "Br", "Br", "Br", "Br", "Br"], "frac_coords": [[0.250, 0.750, 0.500], [0.750, 0.250, 0.500], [0.000, 0.000, 0.000], [0.500, 0.500, 0.000], [0.206, 0.206, 0.000], [0.227, 0.227, 0.455], [0.227, 0.773, 0.000], [0.773, 0.227, 0.000], [0.773, 0.773, 0.545], [0.794, 0.794, 0.000]]}